# Ca4MgTl15

Crystalline Ca4MgTl15 at its relaxed geometry (PBE, Alexandria).

## Properties
**E_form**: -0.184 eV/atom
**SG**: No. 123
**Total magnetization**: 0.0 μB/f.u.

a = 4.8540 Å, b = 4.8540 Å, c = 24.2905 Å
α = 90.00°, β = 90.00°, γ = 90.00°
Positions (direct):
1 Tl 0.5000 0.0000 0.9031
2 Tl 0.5000 0.5000 0.8002
3 Tl 0.5000 0.0000 0.2996
4 Tl 0.0000 0.5000 0.5000
5 Tl 0.5000 0.0000 0.0969
6 Tl 0.0000 0.5000 0.7004
7 Tl 0.5000 0.0000 0.5000
8 Tl 0.0000 0.5000 0.2996
9 Tl 0.5000 0.5000 0.0000
10 Tl 0.5000 0.0000 0.7004
11 Tl 0.5000 0.5000 0.3994
12 Tl 0.5000 0.5000 0.6006
13 Tl 0.0000 0.5000 0.9031
14 Tl 0.0000 0.5000 0.0969
15 Tl 0.5000 0.5000 0.1998
16 Mg 0.0000 0.0000 0.0000
17 Ca 0.0000 0.0000 0.1995
18 Ca 0.0000 0.0000 0.8005
19 Ca 0.0000 0.0000 0.5999
20 Ca 0.0000 0.0000 0.4001



# CaMgTl5

Crystalline CaMgTl5 at its relaxed geometry (PBE, Alexandria).

## Properties
**E_form**: -0.121 eV/atom
**SG**: No. 123
**Total magnetization**: 0.0 μB/f.u.

a = 5.2023 Å, b = 5.2023 Å, c = 7.5943 Å
α = 90.00°, β = 90.00°, γ = 90.00°
Positions (direct):
1 Mg 0.0000 0.0000 0.5000
2 Tl 0.5000 0.0000 0.7182
3 Tl 0.5000 0.5000 0.0000
4 Tl 0.0000 0.5000 0.7182
5 Tl 0.0000 0.5000 0.2818
6 Tl 0.5000 0.0000 0.2818
7 Ca 0.0000 0.0000 0.0000



no.,raw total energy (eV per formula unit)
1,-48.8
2,-16.3